# 1
DFT (PBE-GGA) results for a relaxed ReHgH3 crystal.

Cell: 3.661 3.661 3.661 Å, 90.00 90.00 90.00°
Sites, in units of the cell vectors:
Re (0.000, 0.000, 0.000)
Hg (0.500, 0.500, 0.500)
H (0.000, 0.500, 0.500)
H (0.500, 0.000, 0.500)
H (0.500, 0.500, 0.000)

Calculated values
V   49 Å³/f.u.
Energy above the lowest structure with this stoichiometry   997 meV per atom
Uncorrected energy   -2.948 eV/atom



# 2
DFT (PBE-GGA) results for a relaxed ReHg2H crystal.

Cell: 4.643 4.643 4.643 Å, 60.00 60.00 60.00°
Sites, in units of the cell vectors:
Re (0.000, 0.000, 0.000)
Hg (0.250, 0.250, 0.250)
Hg (0.750, 0.750, 0.750)
H (0.500, 0.500, 0.500)

Calculated values
V   71 Å³/f.u.
Energy above the lowest structure with this stoichiometry   280 meV per atom
Uncorrected energy   -2.636 eV/atom



# 3
DFT (PBE-GGA) results for a relaxed ReHgH2 crystal.

Cell: 3.925 3.925 3.925 Å, 60.00 60.00 60.00°
Sites, in units of the cell vectors:
Re (0.000, 0.000, 0.000)
Hg (0.500, 0.500, 0.500)
H (0.250, 0.250, 0.250)
H (0.750, 0.750, 0.750)

Calculated values
V   43 Å³/f.u.
Energy above the lowest structure with this stoichiometry   790 meV per atom
Uncorrected energy   -3.467 eV/atom



# 4
DFT (PBE-GGA) results for a relaxed ReHgH3 crystal.

Cell: 3.615 3.615 3.615 Å, 90.00 90.00 90.00°
Sites, in units of the cell vectors:
Re (0.000, 0.000, 0.000)
Hg (0.500, 0.500, 0.500)
H (0.000, 0.000, 0.500)
H (0.000, 0.500, 0.000)
H (0.500, 0.000, 0.000)

Calculated values
V   47 Å³/f.u.
Energy above the lowest structure with this stoichiometry   0 meV per atom
Uncorrected energy   -3.945 eV/atom



# 5
DFT (PBE-GGA) results for a relaxed ReHgH2 crystal.

Cell: 4.851 4.851 4.851 Å, 109.91 109.91 108.60°
Sites, in units of the cell vectors:
Re (0.000, 0.000, 0.000)
Re (0.750, 0.250, 0.500)
Hg (0.250, 0.750, 0.500)
Hg (0.500, 0.500, 0.000)
H (0.027, 0.625, 0.902)
H (0.375, 0.277, 0.402)
H (0.723, 0.125, 0.098)
H (0.875, 0.973, 0.598)

Calculated values
V   44 Å³/f.u.
Energy above the lowest structure with this stoichiometry   0 meV per atom
Uncorrected energy   -4.257 eV/atom



# 6
DFT (PBE-GGA) results for a relaxed HgH8Rh4 crystal.

Cell: 5.168 5.613 5.624 Å, 119.93 103.40 90.13°
Sites, in units of the cell vectors:
Hg (0.000, 0.000, 0.000)
H (0.316, 0.399, 0.798)
H (0.334, 0.425, 0.295)
H (0.334, 0.869, 0.295)
H (0.340, 0.877, 0.755)
H (0.660, 0.123, 0.245)
H (0.666, 0.131, 0.705)
H (0.666, 0.575, 0.705)
H (0.684, 0.601, 0.202)
Rh (0.466, 0.245, 0.490)
Rh (0.500, 0.249, 0.000)
Rh (0.500, 0.751, 0.000)
Rh (0.534, 0.755, 0.510)

Calculated values
V   136 Å³/f.u.
Uncorrected energy   -4.331 eV/atom



# 7
DFT (PBE-GGA) results for a relaxed HgHRh3 crystal.

Cell: 5.049 5.049 5.049 Å, 90.00 90.00 90.00°
Sites, in units of the cell vectors:
Hg (0.000, 0.000, 0.000)
H (0.500, 0.500, 0.500)
Rh (0.000, 0.000, 0.500)
Rh (0.000, 0.500, 0.000)
Rh (0.500, 0.000, 0.000)

Calculated values
V   129 Å³/f.u.
Energy above the lowest structure with this stoichiometry   2126 meV per atom
Uncorrected energy   -2.914 eV/atom



# 8
DFT (PBE-GGA) results for a relaxed HgHRh crystal.

Cell: 5.524 5.524 5.211 Å, 100.82 100.82 31.84°
Sites, in units of the cell vectors:
Hg (0.053, 0.053, 0.270)
Hg (0.947, 0.947, 0.730)
H (0.315, 0.315, 0.107)
H (0.685, 0.685, 0.893)
Rh (0.226, 0.226, 0.751)
Rh (0.774, 0.774, 0.249)

Calculated values
V   41 Å³/f.u.
Energy above the lowest structure with this stoichiometry   93 meV per atom
Uncorrected energy   -3.555 eV/atom



# 9
DFT (PBE-GGA) results for a relaxed Hg2H3Rh2 crystal.

Cell: 3.395 5.270 5.661 Å, 116.38 103.69 95.87°
Sites, in units of the cell vectors:
Hg (0.234, 0.247, 0.489)
Hg (0.766, 0.753, 0.511)
H (0.269, 0.625, 0.022)
H (0.500, 0.000, 0.000)
H (0.731, 0.375, 0.978)
Rh (0.237, 0.261, 0.001)
Rh (0.763, 0.739, 0.999)

Calculated values
V   86 Å³/f.u.
Uncorrected energy   -3.558 eV/atom



# 10
DFT (PBE-GGA) results for a relaxed HgH3Rh3 crystal.

Cell: 5.291 5.291 5.291 Å, 90.00 90.00 90.00°
Sites, in units of the cell vectors:
Hg (0.000, 0.000, 0.000)
Hg (0.500, 0.500, 0.500)
H (0.000, 0.250, 0.500)
H (0.000, 0.750, 0.500)
H (0.250, 0.500, 0.000)
H (0.500, 0.000, 0.250)
H (0.500, 0.000, 0.750)
H (0.750, 0.500, 0.000)
Rh (0.000, 0.500, 0.250)
Rh (0.000, 0.500, 0.750)
Rh (0.250, 0.000, 0.500)
Rh (0.500, 0.250, 0.000)
Rh (0.500, 0.750, 0.000)
Rh (0.750, 0.000, 0.500)

Calculated values
V   74 Å³/f.u.
Uncorrected energy   -4.493 eV/atom



# 11
DFT (PBE-GGA) results for a relaxed HgH6Rh2 crystal.

Cell: 6.410 6.410 2.923 Å, 100.42 100.42 48.56°
Sites, in units of the cell vectors:
Hg (0.000, 0.000, 0.000)
H (0.126, 0.478, 0.792)
H (0.428, 0.572, 0.500)
H (0.478, 0.126, 0.792)
H (0.522, 0.874, 0.208)
H (0.572, 0.428, 0.500)
H (0.874, 0.522, 0.208)
Rh (0.242, 0.242, 0.243)
Rh (0.758, 0.758, 0.757)

Calculated values
V   88 Å³/f.u.
Uncorrected energy   -3.819 eV/atom



# 12
DFT (PBE-GGA) results for a relaxed Hg3HRh crystal.

Cell: 5.278 5.278 5.278 Å, 90.00 90.00 90.00°
Sites, in units of the cell vectors:
Hg (0.000, 0.000, 0.500)
Hg (0.000, 0.500, 0.000)
Hg (0.500, 0.000, 0.000)
H (0.500, 0.500, 0.500)
Rh (0.000, 0.000, 0.000)

Calculated values
V   147 Å³/f.u.
Energy above the lowest structure with this stoichiometry   72 meV per atom
Uncorrected energy   -1.741 eV/atom



| no. | density of states at the Fermi level (states/eV per cell) |
| --- | --- |
| 1 | 0.77 |
| 2 | 2.93 |
| 3 | 2.84 |
| 4 | 1.40 |
| 5 | 6.33 |
| 6 | 2.25 |
| 7 | 4.29 |
| 8 | 3.69 |
| 9 | 1.41 |
| 10 | 8.45 |
| 11 | 3.18 |
| 12 | 1.13 |